<w>
Compound: TmSc
Source: OQMD
Functional: GGA-PBE
Structure: relaxed

a b c (Å): 4.625 4.625 4.625
angles (deg): 60.00 60.00 60.00
Fractional coordinates of all 2 atoms:
1 Tm 0.000 0.000 0.000
2 Sc 0.250 0.250 0.250

<x>
Compound: TmSc
Source: OQMD
Functional: GGA-PBE
Structure: relaxed

a b c (Å): 4.327 4.327 4.327
angles (deg): 60.00 60.00 60.00
Fractional coordinates of all 2 atoms:
1 Tm 0.000 0.000 0.000
2 Sc 0.500 0.500 0.500

<y>
Compound: TmSc
Source: OQMD
Functional: GGA-PBE
Structure: relaxed

a b c (Å): 3.419 3.419 5.335
angles (deg): 90.00 90.00 120.00
Fractional coordinates of all 2 atoms:
1 Tm 0.000 0.000 0.000
2 Sc 0.333 0.667 0.500

Of them, <y> has the highest stability.

<w>
Compound: ScU
Source: OQMD
Functional: GGA-PBE
Structure: relaxed

a b c (Å): 3.070 3.070 5.424
angles (deg): 90.00 90.00 120.00
Fractional coordinates of all 2 atoms:
1 Sc 0.000 0.000 0.000
2 U 0.667 0.333 0.500

<x>
Compound: ScU
Source: OQMD
Functional: GGA-PBE
Structure: relaxed

a b c (Å): 4.232 4.232 4.232
angles (deg): 60.00 60.00 60.00
Fractional coordinates of all 2 atoms:
1 Sc 0.000 0.000 0.000
2 U 0.500 0.500 0.500

Of them, <w> has the highest stability.

<w>
Compound: ScUW
Source: OQMD
Functional: GGA-PBE
Structure: relaxed

a b c (Å): 4.563 4.563 4.563
angles (deg): 60.00 60.00 60.00
Fractional coordinates of all 3 atoms:
1 Sc 0.000 0.000 0.000
2 U 0.250 0.250 0.250
3 W 0.500 0.500 0.500

<x>
Compound: ScUW
Source: OQMD
Functional: GGA-PBE
Structure: relaxed

a b c (Å): 4.508 4.508 4.508
angles (deg): 60.00 60.00 60.00
Fractional coordinates of all 3 atoms:
1 Sc 0.000 0.000 0.000
2 U 0.750 0.750 0.750
3 W 0.250 0.250 0.250

Of them, <x> has the highest stability.

<w>
Compound: ZrScU
Source: OQMD
Functional: GGA-PBE
Structure: relaxed

a b c (Å): 4.849 4.849 4.849
angles (deg): 60.00 60.00 60.00
Fractional coordinates of all 3 atoms:
1 Zr 0.000 0.000 0.000
2 Sc 0.750 0.750 0.750
3 U 0.500 0.500 0.500

<x>
Compound: ZrScU
Source: OQMD
Functional: GGA-PBE
Structure: relaxed

a b c (Å): 4.876 4.876 4.876
angles (deg): 60.00 60.00 60.00
Fractional coordinates of all 3 atoms:
1 Zr 0.000 0.000 0.000
2 Sc 0.500 0.500 0.500
3 U 0.750 0.750 0.750

Of them, <w> has the highest stability.

<w>
Compound: Sc2W
Source: OQMD
Functional: GGA-PBE
Structure: relaxed

a b c (Å): 4.560 4.560 4.560
angles (deg): 60.00 60.00 60.00
Fractional coordinates of all 3 atoms:
1 Sc 0.250 0.250 0.250
2 Sc 0.750 0.750 0.750
3 W 0.000 0.000 0.000

<x>
Compound: Sc2W
Source: OQMD
Functional: GGA-PBE
Structure: relaxed

a b c (Å): 7.663 7.663 7.663
angles (deg): 60.00 60.00 60.00
Fractional coordinates of all 6 atoms:
1 Sc 0.000 0.000 0.000
2 Sc 0.000 0.000 0.500
3 Sc 0.000 0.500 0.000
4 Sc 0.500 0.000 0.000
5 W 0.125 0.125 0.125
6 W 0.875 0.875 0.875

Of them, <w> has the highest stability.

<w>
Compound: YSc
Source: OQMD
Functional: GGA-PBE
Structure: relaxed

a b c (Å): 4.377 4.377 4.377
angles (deg): 60.00 60.00 60.00
Fractional coordinates of all 2 atoms:
1 Y 0.000 0.000 0.000
2 Sc 0.500 0.500 0.500

<x>
Compound: YSc
Source: OQMD
Functional: GGA-PBE
Structure: relaxed

a b c (Å): 3.468 3.468 5.395
angles (deg): 90.00 90.00 120.00
Fractional coordinates of all 2 atoms:
1 Y 0.000 0.000 0.000
2 Sc 0.333 0.667 0.500

Of them, <x> has the highest stability.